Density functional theory data (GGA-PBE) for crystalline Ho2ZnCuSi2 at its relaxed geometry.

Cell and atoms, written as CIF:
```
data_Ho2ZnCuSi2
_chemical_formula_sum 'Ho2 Zn1 Cu1 Si2'
_cell_length_a 3.993
_cell_length_b 4.076
_cell_length_c 7.050
_cell_angle_alpha 90.00
_cell_angle_beta 90.00
_cell_angle_gamma 90.00
_symmetry_space_group_name_H-M 'P m m 2'
_symmetry_Int_Tables_number 25
_symmetry_space_group_name_Hall 'P 2 -2'
loop_
_atom_site_label
_atom_site_type_symbol
_atom_site_fract_x
_atom_site_fract_y
_atom_site_fract_z
_atom_site_occupancy
Ho1 Ho 0.000 0.000 0.000 1
Ho2 Ho 0.000 0.500 0.490 1
Zn1 Zn 0.500 0.500 0.829 1
Cu1 Cu 0.500 0.000 0.326 1
Si1 Si 0.500 0.000 0.655 1
Si2 Si 0.500 0.500 0.168 1
```

Calculated values
- Energy: -29.2 eV for the cell shown